Entry 1:
This record from Alexandria describes a relaxed Bi2S3Cl crystal. The functional is PBE. Values from VASP.

Summary:
Formation energy (no corrections) (meV per atom): -404
Raw total energy (eV per atom): -4.07

```
&SYSTEM
  ibrav = 0, nat = 12, ntyp = 3
/
ATOMIC_SPECIES
S 32.06 S.upf
Cl 35.45 Cl.upf
Bi 208.98 Bi.upf
CELL_PARAMETERS angstrom
-6.4909 0.1533 -2.2191
-2.8649 -4.9778 4.7572
-1.0481 7.3777 0.2961
ATOMIC_POSITIONS crystal
S 0.9077 0.9046 0.9046
S 0.2542 0.5286 0.9609
S 0.7458 0.0391 0.4714
Cl 0.3556 0.3687 0.3687
Bi 0.5000 0.8550 0.1450
Cl 0.6444 0.6313 0.6313
S 0.7458 0.4714 0.0391
Bi 0.0000 0.3536 0.6464
Bi 0.5000 0.1450 0.8550
S 0.0923 0.0954 0.0954
Bi 0.0000 0.6464 0.3536
S 0.2542 0.9609 0.5286
```

***

Entry 2:
This record from Alexandria describes a relaxed SrCaRe2 crystal. The functional is PBE. Values from VASP.

Summary:
Raw total energy (eV per atom): -6.09
Distance to the lowest polymorph of the same formula (kcal/mol of atoms): 16.79

```
&SYSTEM
  ibrav = 0, nat = 4, ntyp = 3
/
ATOMIC_SPECIES
Ca 40.08 Ca.upf
Sr 87.62 Sr.upf
Re 186.21 Re.upf
CELL_PARAMETERS angstrom
2.8160 -0.0577 0.0000
-0.4725 2.7767 0.0000
0.0000 0.0000 10.3707
ATOMIC_POSITIONS crystal
Ca 0.5000 0.5000 0.7500
Sr 0.5000 0.5000 0.2500
Re 0.0000 0.0000 0.9914
Re 0.0000 0.0000 0.5086
```